No. 1
A plane-wave DFT calculation with GGA-PBE was carried out for a geometry-optimized BeGaNiIr structure.

abc: 4.0720 4.0720 4.0720
angles: 60.00 60.00 60.00
Closest atoms and distances in Å follow each position.
Positions (direct):
Ni1 0.2500 0.2500 0.2500  4 Be 2.49, 4 Ga 2.49
Ir1 0.7500 0.7500 0.7500  4 Ga 2.49, 4 Be 2.49
Ga1 0.5000 0.5000 0.5000  4 Ir 2.49, 4 Ni 2.49
Be1 0.0000 0.0000 0.0000  4 Ni 2.49, 4 Ir 2.49

Properties
**Energy relative to the lowest polymorph listed for this composition**: 34 meV per atom
**Symmetry**: No. 216
**Formation enthalpy at 0 K**: -419 meV per atom

---

No. 2
A plane-wave DFT calculation with GGA-PBE was carried out for a geometry-optimized PaPRhSe structure.

abc: 4.0220 4.0220 9.0569
angles: 90.00 90.00 90.00
Closest atoms and distances in Å follow each position.
Positions (direct):
Pa1 0.5000 0.0000 0.7414  4 P 2.96, 4 Se 2.97, 4 Rh 3.09
Pa2 0.0000 0.5000 0.2586  4 P 2.96, 4 Se 2.97, 4 Rh 3.09
P1 0.0000 0.5000 0.8313  4 Rh 2.53
P2 0.5000 0.0000 0.1687  4 Rh 2.53
Rh1 0.5000 0.5000 0.0000  4 P 2.53
Rh2 0.0000 0.0000 0.0000  4 P 2.53
Se1 0.0000 0.0000 0.5000  4 Se 2.84, 4 Pa 2.97
Se2 0.5000 0.5000 0.5000  4 Se 2.84, 4 Pa 2.97

Properties
**Formation energy from raw total energies**: -99.11 kJ per mole of atoms
**Symmetry**: No. 129

---

No. 3
A plane-wave DFT calculation with GGA-PBE was carried out for a geometry-optimized SiAgF2 structure.

abc: 9.5682 9.5682 9.5682
angles: 16.69 16.69 16.69
Closest atoms and distances in Å follow each position.
Positions (direct):
Si1 0.0000 0.0000 0.0000  2 F 1.65
Ag1 0.5000 0.5000 0.5000  6 Ag 2.78
F1 0.9418 0.9418 0.9418  1 Si 1.65
F2 0.0582 0.0582 0.0582  1 Si 1.65

Properties
**Energy relative to the lowest polymorph listed for this composition**: 0 meV per atom
**Formation energy from raw total energies**: -131.01 kJ per mole of atoms
**Symmetry**: No. 166

---

No. 4
A plane-wave DFT calculation with GGA-PBE was carried out for a geometry-optimized DyYZr2P4 structure.

abc: 3.8473 6.6698 6.7485
angles: 109.29 90.00 90.00
Closest atoms and distances in Å follow each position.
Positions (direct):
Dy1 0.5000 0.5000 0.0000  6 P 2.79
Y1 0.0000 0.0000 0.0000  6 P 2.79
Zr1 0.5000 0.0000 0.5000  6 P 2.68
Zr2 0.0000 0.5000 0.5000  6 P 2.68
P1 0.5000 0.2551 0.2645  3 Zr 2.68, 2 Y 2.79, 1 Dy 2.79
P2 0.5000 0.7449 0.7355  3 Zr 2.68, 2 Y 2.79, 1 Dy 2.79
P3 0.0000 0.2455 0.7357  3 Zr 2.68, 2 Dy 2.79, 1 Y 2.79
P4 0.0000 0.7545 0.2643  3 Zr 2.68, 2 Dy 2.79, 1 Y 2.79

Properties
**Symmetry**: No. 10
**Formation enthalpy at 0 K**: -1484 meV per atom

---

No. 5
A plane-wave DFT calculation with GGA-PBE was carried out for a geometry-optimized Ac2TlSiO6 structure.

abc: 4.8432 5.6895 5.6895
angles: 90.00 90.00 90.00
Closest atoms and distances in Å follow each position.
Positions (direct):
Ac1 0.0229 0.5000 0.0000  4 O 2.51
Ac2 0.0229 0.0000 0.5000  4 O 2.51
Tl1 0.5583 0.5000 0.5000  6 O 2.30-2.54
Si1 0.6116 0.0000 0.0000  5 O 1.67-1.78
O1 0.7204 0.2115 0.2115  1 Si 1.78
O2 0.7204 0.2115 0.7885  1 Si 1.78
O3 0.0824 0.5000 0.5000  2 Tl 2.30-2.54
O4 0.2670 0.0000 0.0000  1 Si 1.67
O5 0.7204 0.7885 0.7885  1 Si 1.78
O6 0.7204 0.7885 0.2115  1 Si 1.78

Properties
**Formation energy from raw total energies**: -241.49 kJ per mole of atoms
**Symmetry**: No. 99

---

No. 6
A plane-wave DFT calculation with GGA-PBE was carried out for a geometry-optimized LiFeCo structure.

abc: 8.4657 3.9929 3.9929
angles: 120.03 135.06 44.94
Closest atoms and distances in Å follow each position.
Positions (direct):
Co1 0.8408 0.4022 0.5978  6 Fe 2.35-2.50, 2 Li 2.40-2.48
Co2 0.1227 0.7870 0.2130  5 Fe 2.34-2.54, 3 Li 2.52
Fe1 0.6427 0.2671 0.7329  5 Co 2.34-2.54, 3 Li 2.54
Fe2 0.9302 0.6461 0.3539  6 Co 2.35-2.49, 2 Li 2.42-2.46
Li1 0.4258 0.1507 0.8493  3 Li 2.35, 5 Fe 2.42-2.54
Li2 0.3322 0.9110 0.0890  3 Li 2.35, 5 Co 2.40-2.52

Properties
**Energy relative to the lowest polymorph listed for this composition**: 106 meV per atom
**Symmetry**: No. 156
**Formation enthalpy at 0 K**: 231 meV per atom

---

No. 7
A plane-wave DFT calculation with GGA-PBE was carried out for a geometry-optimized BaCa2Bi structure.

abc: 5.4744 5.2821 5.2821
angles: 90.00 90.00 90.00
Closest atoms and distances in Å follow each position.
Positions (direct):
Ca1 0.0000 0.0000 0.5000  4 Ca 3.74, 4 Ba 3.80, 4 Bi 3.80
Ca2 0.0000 0.5000 0.0000  4 Ca 3.74, 4 Ba 3.80, 4 Bi 3.80
Bi1 0.5000 0.5000 0.5000  4 Ba 3.74, 8 Ca 3.80
Ba1 0.5000 0.0000 0.0000  4 Bi 3.74, 8 Ca 3.80

Properties
**Symmetry**: No. 123
**Formation enthalpy at 0 K**: -439 meV per atom

---

No. 8
A plane-wave DFT calculation with GGA-PBE was carried out for a geometry-optimized MgAsIr2 structure.

abc: 3.3588 3.3588 5.5904
angles: 90.00 90.00 90.00
Closest atoms and distances in Å follow each position.
Positions (direct):
As1 0.5000 0.5000 0.7905  5 Ir 2.57-2.63
Ir1 0.0000 0.0000 0.9655  4 As 2.57, 1 Mg 2.70
Ir2 0.5000 0.5000 0.2618  1 As 2.63, 4 Mg 2.68, 4 Ir 2.90
Mg1 0.0000 0.0000 0.4822  6 Ir 2.68-2.89, 4 As 2.93

Properties
**Energy relative to the lowest polymorph listed for this composition**: 170 meV per atom
**Symmetry**: No. 99
**Formation enthalpy at 0 K**: -19 meV per atom

---

No. 9
A plane-wave DFT calculation with GGA-PBE was carried out for a geometry-optimized Er2Cd2Ni15 structure.

abc: 6.3759 6.3759 6.3759
angles: 82.98 82.98 82.98
Closest atoms and distances in Å follow each position.
Positions (direct):
Er1 0.3526 0.3526 0.3526  12 Ni 2.92-3.07, 1 Cd 3.04
Er2 0.6474 0.6474 0.6474  12 Ni 2.92-3.07, 1 Cd 3.04
Cd1 0.1057 0.1057 0.1057  6 Ni 2.55-2.65, 1 Cd 2.60
Cd2 0.8943 0.8943 0.8943  6 Ni 2.55-2.65, 1 Cd 2.60
Ni1 0.5000 0.0000 0.0000  8 Ni 2.44-2.47, 2 Cd 2.55
Ni2 0.0000 0.0000 0.5000  8 Ni 2.44-2.47, 2 Cd 2.55
Ni3 0.0000 0.5000 0.0000  8 Ni 2.44-2.47, 2 Cd 2.55
Ni4 0.0000 0.6907 0.3093  8 Ni 2.44-2.61
Ni5 0.6907 0.3093 0.0000  8 Ni 2.44-2.61
Ni6 0.3093 0.0000 0.6907  8 Ni 2.44-2.61
Ni7 0.3093 0.6907 0.0000  8 Ni 2.44-2.61
Ni8 0.6907 0.0000 0.3093  8 Ni 2.44-2.61
Ni9 0.0000 0.3093 0.6907  8 Ni 2.44-2.61
Ni10 0.1644 0.6520 0.6520  8 Ni 2.39-2.55, 1 Cd 2.65
Ni11 0.6520 0.6520 0.1644  8 Ni 2.39-2.55, 1 Cd 2.65
Ni12 0.6520 0.1644 0.6520  8 Ni 2.39-2.55, 1 Cd 2.65
Ni13 0.8356 0.3480 0.3480  8 Ni 2.39-2.55, 1 Cd 2.65
Ni14 0.3480 0.3480 0.8356  8 Ni 2.39-2.55, 1 Cd 2.65
Ni15 0.3480 0.8356 0.3480  8 Ni 2.39-2.55, 1 Cd 2.65

Properties
**Symmetry**: No. 166
**Formation enthalpy at 0 K**: -160 meV per atom

---

No. 10
A plane-wave DFT calculation with GGA-PBE was carried out for a geometry-optimized La3Er2PuTe6 structure.

abc: 4.4301 9.0072 10.0154
angles: 103.64 102.78 90.00
Closest atoms and distances in Å follow each position.
Positions (direct):
La1 0.5000 0.5000 0.0000  6 Te 3.21-3.27
La2 0.8355 0.1668 0.6711  6 Te 3.21-3.26
La3 0.1645 0.8332 0.3289  6 Te 3.21-3.26
Er1 0.8358 0.6713 0.6715  6 Te 3.03-3.10
Er2 0.1642 0.3287 0.3285  6 Te 3.03-3.10
Pu1 0.5000 0.0000 0.0000  6 Te 3.11-3.14
Te1 0.3345 0.9047 0.6690  2 Er 3.06, 1 Pu 3.14, 3 La 3.23
Te2 0.6722 0.5717 0.3444  3 Er 3.09-3.10, 3 La 3.26-3.27
Te3 0.6655 0.0953 0.3310  2 Er 3.06, 1 Pu 3.14, 3 La 3.23
Te4 0.0046 0.2450 0.0092  1 Er 3.03, 2 Pu 3.11, 3 La 3.21
Te5 0.9954 0.7550 0.9908  1 Er 3.03, 2 Pu 3.11, 3 La 3.21
Te6 0.3278 0.4283 0.6556  3 Er 3.09-3.10, 3 La 3.26-3.27

Properties
**Formation energy from raw total energies**: -134.97 kJ per mole of atoms
**Symmetry**: No. 12

---

No. 11
A plane-wave DFT calculation with GGA-PBE was carried out for a geometry-optimized LiFe2Pb structure.

abc: 4.5711 2.9230 4.8409
angles: 85.98 90.00 90.00
Closest atoms and distances in Å follow each position.
Positions (direct):
Fe1 0.0000 0.9926 0.0423  2 Fe 2.38-2.59, 2 Li 2.63
Fe2 0.0000 0.5074 0.4577  2 Fe 2.38-2.59, 2 Li 2.63
Li1 0.5000 0.2500 0.2500  4 Fe 2.63, 4 Pb 2.74-2.91, 2 Li 2.92
Pb1 0.5000 0.7500 0.7500  4 Li 2.74-2.91, 4 Fe 2.81, 2 Pb 2.92

Properties
**Symmetry**: No. 10
**Formation enthalpy at 0 K**: 417 meV per atom

---

No. 12
A plane-wave DFT calculation with GGA-PBE was carried out for a geometry-optimized KLiHg2Au structure.

abc: 5.2248 5.2248 5.0578
angles: 90.00 90.00 90.00
Closest atoms and distances in Å follow each position.
Positions (direct):
K1 0.5000 0.5000 0.5000  8 Hg 3.64, 4 Au 3.69
Au1 0.0000 0.0000 0.5000  2 Li 2.53
Hg1 0.0000 0.5000 0.0000  2 Li 2.61
Hg2 0.5000 0.0000 0.0000  2 Li 2.61
Li1 0.0000 0.0000 0.0000  2 Au 2.53, 4 Hg 2.61

Properties
**Symmetry**: No. 123
**Formation enthalpy at 0 K**: -206 meV per atom

---

Number 1: D(E_F) 0.40 states/eV/atom, uncorrected energy -5.77 eV/atom. Number 2: D(E_F) 0.74 states/eV/atom, uncorrected energy -7.46 eV/atom. Number 3: D(E_F) 0.24 states/eV/atom, uncorrected energy -4.36 eV/atom. Number 4: D(E_F) 0.50 states/eV/atom, uncorrected energy -7.71 eV/atom. Number 5: D(E_F) 0.08 states/eV/atom, uncorrected energy -7.08 eV/atom. Number 6: D(E_F) 1.00 states/eV/atom, uncorrected energy -5.60 eV/atom. Number 7: D(E_F) 0.78 states/eV/atom, uncorrected energy -2.89 eV/atom. Number 8: D(E_F) 0.72 states/eV/atom, uncorrected energy -6.01 eV/atom. Number 9: D(E_F) 1.22 states/eV/atom, uncorrected energy -5.30 eV/atom. Number 10: D(E_F) 1.01 states/eV/atom, uncorrected energy -6.16 eV/atom. Number 11: D(E_F) 0.93 states/eV/atom, uncorrected energy -5.22 eV/atom. Number 12: D(E_F) 0.47 states/eV/atom, uncorrected energy -1.58 eV/atom.